A plane-wave DFT calculation with PBE-GGA was carried out for a relaxed CaNd2Dy2 crystal.

Properties
The spin magnetization is 0.00 Bohr magnetons per cell. For the formation energy, the calculation gives 0.042 eV/atom. As for the total energy: -4.11 eV per atom.

a b c (Å): 5.596 17.654 3.577
angles (deg): 90.00 90.00 90.00
Space group Cmmm (No. 65)
Inequivalent atoms, fractional coordinates:
Ca 0.000 0.000 0.000 x2
Nd 0.000 0.379 0.500 x4
Dy 0.000 0.201 0.000 x4

A plane-wave DFT calculation with PBE-GGA was carried out for a relaxed LiCaAg2 crystal.

Properties
The spin magnetization is 0.00 Bohr magnetons per cell. Its offset from the most stable computed form is 1.13 eV/f.u. For the formation energy, the calculation gives 0.038 eV/atom. As for the total energy: -2.37 eV per atom.

a b c (Å): 4.937 4.937 17.536
angles (deg): 90.00 90.00 90.00
Space group I-42d (No. 122)
Inequivalent atoms, fractional coordinates:
Li 0.000 0.000 0.000 x4
Ca 0.000 0.000 0.500 x4
Ag 0.114 0.250 0.125 x8

A plane-wave DFT calculation with PBE-GGA was carried out for a relaxed HfPaGa crystal.

Properties
The spin magnetization is 0.00 Bohr magnetons per cell. Its offset from the most stable computed form is 0.18 eV/f.u. For the formation energy, the calculation gives -0.146 eV/atom. As for the total energy: -7.64 eV per atom.

a b c (Å): 3.661 3.661 9.390
angles (deg): 90.00 90.00 90.00
Space group P4/nmm (No. 129, origin choice 2)
Inequivalent atoms, fractional coordinates:
Hf 0.250 0.250 0.090 x2
Pa 0.250 0.250 0.427 x2
Ga 0.250 0.250 0.768 x2